PBE with a Hubbard U FeI2NF, optimized geometry; space group = P4/mmm, No. 123; total moment = 4.10 μB/f.u.; uncorrected energy = -2.512 eV per atom
1.0
5.4506 0.0000 0.0000
0.0000 5.4506 0.0000
0.0000 0.0000 3.6991
F I Fe N
1 2 1 1
Direct
0.0000 0.0000 0.0000
0.5000 0.0000 0.0000
0.0000 0.5000 0.0000
0.5000 0.5000 0.5000
0.0000 0.0000 0.5000